No. 1
The following is a DFT calculation (SCAN) of Mg3Ir at its PBEsol-relaxed geometry.

Computed properties:
- magnetization (μB per cell) = 0.00
- E (eV/atom) = -21.95
- E_form (eV/f.u.) = -1.789
- Fermi-level density of states (states/eV per cell) = 9.46

abc: 7.853 7.853 8.173
angles: 90.00 90.00 120.00
Fractional coordinates of all 24 atoms:
1 Mg 0.000 0.000 0.000
2 Mg 0.000 0.000 0.500
3 Mg 0.000 0.287 0.237
4 Mg 0.000 0.371 0.897
5 Mg 0.000 0.629 0.397
6 Mg 0.000 0.713 0.737
7 Mg 0.287 0.000 0.237
8 Mg 0.287 0.287 0.737
9 Mg 0.333 0.667 0.111
10 Mg 0.333 0.667 0.611
11 Mg 0.371 0.000 0.897
12 Mg 0.371 0.371 0.397
13 Mg 0.629 0.000 0.397
14 Mg 0.629 0.629 0.897
15 Mg 0.667 0.333 0.111
16 Mg 0.667 0.333 0.611
17 Mg 0.713 0.000 0.737
18 Mg 0.713 0.713 0.237
19 Ir 0.000 0.328 0.567
20 Ir 0.000 0.672 0.067
21 Ir 0.328 0.000 0.567
22 Ir 0.328 0.328 0.067
23 Ir 0.672 0.000 0.067
24 Ir 0.672 0.672 0.567

No. 2
The following is a DFT calculation (SCAN) of MgIr3 at its PBEsol-relaxed geometry.

Computed properties:
- magnetization (μB per cell) = 0.00
- E (eV/atom) = -54.83
- E_form (eV/f.u.) = -1.065
- Fermi-level density of states (states/eV per cell) = 2.73

abc: 4.721 4.721 2.720
angles: 90.00 90.00 109.46
Fractional coordinates of all 4 atoms:
1 Mg 0.000 0.000 0.000
2 Ir 0.000 0.500 0.500
3 Ir 0.500 0.000 0.500
4 Ir 0.500 0.500 0.000

No. 3
The following is a DFT calculation (SCAN) of MgIr4 at its PBEsol-relaxed geometry.

Computed properties:
- magnetization (μB per cell) = 0.00
- E (eV/atom) = -58.09
- E_form (eV/f.u.) = -1.072
- Fermi-level density of states (states/eV per cell) = 2.33

abc: 4.717 4.717 4.717
angles: 99.57 99.57 131.86
Fractional coordinates of all 5 atoms:
1 Mg 0.000 0.000 0.000
2 Ir 0.193 0.602 0.795
3 Ir 0.398 0.193 0.591
4 Ir 0.602 0.807 0.409
5 Ir 0.807 0.398 0.205

No. 4
The following is a DFT calculation (SCAN) of Mg3Ir at its PBEsol-relaxed geometry.

Computed properties:
- magnetization (μB per cell) = 0.00
- E (eV/atom) = -21.93
- E_form (eV/f.u.) = -1.686
- Fermi-level density of states (states/eV per cell) = 5.35

abc: 7.475 8.017 5.029
angles: 90.00 90.00 90.00
Fractional coordinates of all 16 atoms:
1 Mg 0.022 0.250 0.079
2 Mg 0.170 0.066 0.594
3 Mg 0.170 0.434 0.594
4 Mg 0.330 0.566 0.094
5 Mg 0.330 0.934 0.094
6 Mg 0.478 0.750 0.579
7 Mg 0.522 0.250 0.421
8 Mg 0.670 0.066 0.906
9 Mg 0.670 0.434 0.906
10 Mg 0.830 0.566 0.406
11 Mg 0.830 0.934 0.406
12 Mg 0.978 0.750 0.921
13 Ir 0.133 0.750 0.433
14 Ir 0.367 0.250 0.933
15 Ir 0.633 0.750 0.067
16 Ir 0.867 0.250 0.567

Question: Which formula does entry 2 have?
Answer: MgIr3

Question: Which of these has the lowest E_form?
Answer: number 1